# 1
Crystalline Mg2MnSi at its relaxed geometry. Source: Alexandria, functional PBE.

Its crystal system is monoclinic. Its formation energy without anion corrections is 0.07 eV per atom.

The structure belongs to space group Pm (No. 6); the cell edges are 3.049, 4.163 and 5.570 Å and the angles 90.00°, 105.73° and 90.00°. The inequivalent atoms are Mg at (0.000, 0.000, 0.000), Mg at (0.336, 0.500, 0.674), Mn at (0.610, 0.500, 0.220) and Si at (0.724, 0.000, 0.450).



# 2
Crystalline Tb2Pr4Mg at its relaxed geometry. Source: Alexandria, functional PBE.

Its crystal system is monoclinic. The calculation puts the energy relative to the lowest polymorph listed for this composition at 0.20 eV per formula unit. The calculation puts the energy of formation at 116.6 meV/atom.

The structure belongs to space group P2/m (No. 10); the cell edges are 6.040, 3.714 and 11.117 Å and the angles 90.00°, 99.77° and 90.00°. The inequivalent atoms are Tb at (0.000, 0.000, 0.000), Tb at (0.500, 0.500, 0.000), Pr at (0.046, 0.500, 0.704), Pr at (0.437, 0.000, 0.251) and Mg at (0.500, 0.500, 0.500).



# 3
Crystalline Sc5OsRh4 at its relaxed geometry. Source: Alexandria, functional PBE.

Its crystal system is tetragonal. The calculation puts the energy of formation at -910.4 meV/atom.

The structure belongs to space group P4/mmm (No. 123); the cell edges are 3.225, 3.225 and 16.138 Å and the angles 90.00°, 90.00° and 90.00°. The inequivalent atoms are Sc at (0.000, 0.000, 0.000), Sc at (0.000, 0.000, 0.201), Sc at (0.000, 0.000, 0.403), Os at (0.500, 0.500, 0.500), Rh at (0.500, 0.500, 0.100) and Rh at (0.500, 0.500, 0.298).



# 4
Crystalline DyHCl2 at its relaxed geometry. Source: Alexandria, functional PBE.

Its crystal system is orthorhombic. The total energy is -18.01 eV per formula unit.

The structure belongs to space group Pnna (No. 52); the cell edges are 7.035, 5.995 and 10.195 Å and the angles 90.00°, 90.00° and 90.00°. The inequivalent atoms are Dy at (0.250, 0.000, 0.105), H at (0.198, 0.250, 0.250) and Cl at (0.067, 0.239, 0.925).



# 5
Crystalline Zr2InCoTc at its relaxed geometry. Source: Alexandria, functional PBE.

Its crystal system is tetragonal. The calculation puts the energy of formation at 886.2 meV/atom.

The structure belongs to space group P4/mmm (No. 123); the cell edges are 4.886, 4.886 and 5.094 Å and the angles 90.00°, 90.00° and 90.00°. The inequivalent atoms are Zr at (0.000, 0.500, 0.000), In at (0.000, 0.000, 0.500), Co at (0.500, 0.500, 0.500) and Tc at (0.000, 0.000, 0.000).



# 6
Crystalline MgFeSb3 at its relaxed geometry. Source: Alexandria, functional PBE.

Its crystal system is cubic. The calculation puts the energy relative to the lowest polymorph listed for this composition at 0.00 eV per formula unit. Its formation energy without anion corrections is 0.34 eV per atom.

The structure belongs to space group Pm-3m (No. 221); the cell edges are 5.002, 5.002 and 5.002 Å and the angles 90.00°, 90.00° and 90.00°. The inequivalent atoms are Mg at (0.000, 0.000, 0.000), Fe at (0.500, 0.500, 0.500) and Sb at (0.000, 0.500, 0.500).